# 1
NpTe3 | GGA-PBE | optimized geometry

Cell and atoms, written as extended XYZ:
```
8
Lattice="2.078 -14.148 0.000 2.078 14.148 0.000 0.000 0.000 4.441" Properties=species:S:1:pos:R:3 pbc="T T T"
Te 2.078 -5.219 1.110
Te 2.078 -1.603 1.110
Te 2.078 5.219 3.330
Te 2.078 9.625 3.330
Te 2.078 -9.625 1.110
Te 2.078 1.603 3.330
Np 2.078 -12.972 1.110
Np 2.078 12.972 3.330
```

Values from the calculation:
DOS at the Fermi energy: 7.391 states/eV/f.u.
Energy relative to the elements, uncorrected: -208 meV/atom
Magnetic moment: 4.442 μB per formula unit

# 2
NpTe2 | GGA-PBE | optimized geometry

Cell and atoms, written as extended XYZ:
```
3
Lattice="3.968 0.000 -0.001 0.000 3.968 0.000 -1.985 -1.984 5.181" Properties=species:S:1:pos:R:3 pbc="T T T"
Np 1.984 1.984 0.000
Te 1.984 1.984 3.600
Te -0.002 0.000 1.580
```

Values from the calculation:
DOS at the Fermi energy: 6.783 states/eV/f.u.
Energy relative to the elements, uncorrected: -582 meV/atom
Magnetic moment: 3.590 μB per formula unit

# 3
Np3Te5 | GGA-PBE | optimized geometry

Cell and atoms, written as extended XYZ:
```
16
Lattice="6.121 0.000 0.000 0.000 9.364 0.000 0.000 -4.682 8.110" Properties=species:S:1:pos:R:3 pbc="T T T"
Np 1.530 2.906 5.033
Np 4.590 5.812 0.000
Np 1.530 3.552 0.000
Np 1.530 -1.776 3.076
Np 4.590 -2.906 5.033
Np 4.590 1.776 3.076
Te 0.000 0.000 5.406
Te 1.530 -3.436 5.951
Te 0.000 4.682 2.703
Te 3.060 0.000 5.406
Te 3.060 4.682 2.703
Te 1.530 1.246 2.158
Te 4.590 2.492 0.000
Te 1.530 6.872 0.000
Te 4.590 3.436 5.951
Te 4.590 -1.246 2.158
```

Values from the calculation:
DOS at the Fermi energy: 30.976 states/eV/f.u.
Energy relative to the elements, uncorrected: -644 meV/atom
Magnetic moment: 12.200 μB per formula unit

# 4
NpTe | GGA-PBE | optimized geometry

Cell and atoms, written as extended XYZ:
```
2
Lattice="-2.540 -1.468 -2.359 2.166 -3.048 -0.435 -1.740 -1.651 2.901" Properties=species:S:1:pos:R:3 pbc="T T T"
Te -1.057 -3.083 0.054
Np 0.000 0.000 0.000
```

Values from the calculation:
DOS at the Fermi energy: 7.265 states/eV/f.u.
Energy relative to the elements, uncorrected: -539 meV/atom
Magnetic moment: 4.927 μB per formula unit

# 5
NpTe2 | GGA-PBE | optimized geometry

Cell and atoms, written as extended XYZ:
```
6
Lattice="-2.278 -0.149 3.797 -3.022 -2.613 -1.916 4.599 -7.135 2.479" Properties=species:S:1:pos:R:3 pbc="T T T"
Te -2.650 -1.381 0.941
Te 0.161 -3.902 -0.056
Te 1.787 -4.615 3.476
Te 0.000 0.000 0.000
Np 1.846 -6.515 0.851
Np 0.103 -2.001 2.568
```

Values from the calculation:
DOS at the Fermi energy: 9.080 states/eV/f.u.
Energy relative to the elements, uncorrected: -633 meV/atom
Magnetic moment: 4.027 μB per formula unit

# 6
NpTe | GGA-PBE | optimized geometry

Cell and atoms, written as extended XYZ:
```
4
Lattice="-0.954 -3.619 -1.172 1.088 0.790 -3.324 8.373 2.002 3.215" Properties=species:S:1:pos:R:3 pbc="T T T"
Te 6.247 0.090 -0.836
Te 2.259 -0.917 -0.446
Np 0.813 -1.866 -3.079
Np 7.693 1.039 1.797
```

Values from the calculation:
DOS at the Fermi energy: 3.570 states/eV/f.u.
Energy relative to the elements, uncorrected: -529 meV/atom
Magnetic moment: 0.001 μB per formula unit

# 7
Np5Te6 | GGA-PBE | optimized geometry

Cell and atoms, written as extended XYZ:
```
11
Lattice="7.509 0.265 -1.070 1.816 6.408 -3.616 -0.195 -0.156 7.567" Properties=species:S:1:pos:R:3 pbc="T T T"
Te 2.773 3.766 2.696
Te 6.357 2.751 0.185
Te 2.306 1.627 -1.146
Te 3.432 5.905 -1.123
Te 7.019 5.047 -3.539
Te 5.698 0.612 4.004
Np 1.144 4.215 0.101
Np 5.133 5.351 1.464
Np 3.996 1.166 1.417
Np 0.476 2.037 3.849
Np 4.662 3.337 -2.343
```

Values from the calculation:
DOS at the Fermi energy: 48.201 states/eV/f.u.
Energy relative to the elements, uncorrected: -634 meV/atom
Magnetic moment: 22.549 μB per formula unit

# 8
NpTe3 | GGA-PBE | optimized geometry

Cell and atoms, written as extended XYZ:
```
4
Lattice="4.160 0.000 0.000 0.000 6.104 0.000 -2.080 -3.052 4.802" Properties=species:S:1:pos:R:3 pbc="T T T"
Te 2.080 2.696 0.000
Te 2.080 -1.075 1.885
Te 0.000 1.977 2.917
Np 0.000 0.471 0.000
```

Values from the calculation:
DOS at the Fermi energy: 11.006 states/eV/f.u.
Energy relative to the elements, uncorrected: -337 meV/atom
Magnetic moment: 3.993 μB per formula unit

# 9
Np4Te | GGA-PBE | optimized geometry

Cell and atoms, written as extended XYZ:
```
5
Lattice="-2.683 4.821 1.434 -4.449 -3.033 1.874 2.348 -0.237 5.190" Properties=species:S:1:pos:R:3 pbc="T T T"
Np -3.566 0.894 1.654
Np 0.000 0.000 0.000
Np -0.168 2.292 3.312
Np -1.051 -1.635 3.532
Te -2.392 0.775 4.249
```

Values from the calculation:
DOS at the Fermi energy: 34.520 states/eV/f.u.
Energy relative to the elements, uncorrected: 1406 meV/atom
Magnetic moment: 9.980 μB per formula unit

# 10
ThNp2Te6 | GGA-PBE | optimized geometry

Cell and atoms, written as extended XYZ:
```
18
Lattice="7.022 0.042 1.762 1.788 8.548 3.886 0.417 0.015 9.550" Properties=species:S:1:pos:R:3 pbc="T T T"
Te 6.000 4.830 4.053
Te 2.218 4.056 5.162
Te 3.227 3.774 11.144
Te 5.513 2.732 6.936
Te 7.209 1.480 11.557
Te 7.418 8.029 9.215
Te 2.019 7.125 3.640
Te 4.427 0.281 9.077
Te 4.800 8.324 6.120
Te 1.809 0.576 5.982
Te 7.010 4.549 10.035
Te 3.715 5.873 8.262
Np 0.762 1.928 3.256
Np 8.465 6.676 11.941
Np 4.298 2.100 4.037
Np 4.930 6.505 11.160
Th 6.603 5.770 7.072
Th 2.624 2.835 8.125
```

Values from the calculation:
DOS at the Fermi energy: 18.411 states/eV/f.u.
Energy relative to the elements, uncorrected: -732 meV/atom
Magnetic moment: 8.003 μB per formula unit

# 11
ThNp2Te5 | GGA-PBE | optimized geometry

Cell and atoms, written as extended XYZ:
```
16
Lattice="4.391 0.000 0.000 0.000 8.660 0.000 0.000 0.000 13.674" Properties=species:S:1:pos:R:3 pbc="T T T"
Te 0.000 4.330 0.000
Te 0.000 0.000 6.837
Te 2.196 2.772 8.319
Te 0.000 1.550 10.934
Te 0.000 7.110 2.740
Te 2.196 7.102 12.192
Te 0.000 5.880 9.577
Te 2.196 1.558 1.482
Te 0.000 2.780 4.097
Te 2.196 5.888 5.355
Np 2.196 8.380 9.236
Np 2.196 4.050 11.275
Np 2.196 0.280 4.438
Np 2.196 4.610 2.399
Th 0.000 4.330 6.837
Th 0.000 0.000 0.000
```

Values from the calculation:
DOS at the Fermi energy: 18.984 states/eV/f.u.
Energy relative to the elements, uncorrected: -754 meV/atom
Magnetic moment: 7.992 μB per formula unit

# 12
ThNpTe4 | GGA-PBE | optimized geometry

Cell and atoms, written as extended XYZ:
```
12
Lattice="-0.253 -6.615 -2.166 0.001 -2.167 6.619 -7.844 0.271 0.090" Properties=species:S:1:pos:R:3 pbc="T T T"
Te -6.064 -6.714 2.757
Te -2.068 -3.861 4.776
Te -2.158 -4.784 -0.277
Te -5.900 -1.664 1.831
Te -2.031 -1.797 1.787
Te -6.027 -4.650 -0.232
Te -2.195 -6.847 2.712
Te -5.937 -3.727 4.820
Np -3.922 0.135 0.045
Np -4.048 -4.256 2.272
Th 0.000 0.000 0.000
Th -0.126 -4.391 2.227
```

Values from the calculation:
DOS at the Fermi energy: 12.448 states/eV/f.u.
Energy relative to the elements, uncorrected: -703 meV/atom
Magnetic moment: 3.842 μB per formula unit
Relative energy among the computed polymorphs: 34.4 meV/atom

V? In order: 32.64, 27.18, 29.05, 26.67, 28.94, 27.46, 32.31, 30.49, 37.06, 31.44, 32.50, 31.73 Å³ per atom.